Density functional theory data (PBE-GGA) for crystalline MgMn2SeS at its relaxed geometry.

abc: 4.6406 4.6406 5.0706
angles: 90.00 90.00 90.00
Space group P4/mmm (No. 123)
One atom of each set of equivalent atoms:
Mg  0.0000  0.0000  0.0000 [1 per cell]
Mn  0.0000  0.5000  0.5000 [2 per cell]
Se  0.0000  0.0000  0.5000 [1 per cell]
S  0.5000  0.5000  0.0000 [1 per cell]

crystal system	tetragonal
formation energy without anion corrections	6.9	kcal/mol of atoms
N(E_F)	4.19	states/eV/cell

=====

Density functional theory data (PBE-GGA) for crystalline MgMnSiS4 at its relaxed geometry.

abc: 7.1565 7.2464 10.1472
angles: 90.00 90.00 90.00
Space group Imma (No. 74)
One atom of each set of equivalent atoms:
Mg  0.0000  0.0000  0.0000 [4 per cell]
Mn  0.2500  0.2500  0.2500 [4 per cell]
Si  0.0000  0.2500  0.6247 [4 per cell]
S  0.0000  0.0012  0.7459 [8 per cell]
S  0.2466  0.2500  0.4988 [8 per cell]

crystal system	orthorhombic
formation energy without anion corrections	-17.2	kcal/mol of atoms
N(E_F)	6.62	states/eV/cell

=====

Density functional theory data (PBE-GGA) for crystalline MgMnSi2S6 at its relaxed geometry.

abc: 11.9870 11.2070 6.2431
angles: 90.00 104.32 90.00
Space group C2/c (No. 15)
One atom of each set of equivalent atoms:
Mg  0.0000  0.1055  0.2500 [4 per cell]
Mn  0.0000  0.2663  0.7500 [4 per cell]
Si  0.2016  0.4156  0.2785 [8 per cell]
S  0.1143  0.0856  0.6493 [8 per cell]
S  0.1293  0.2587  0.1171 [8 per cell]
S  0.1377  0.4286  0.5768 [8 per cell]

crystal system	monoclinic
formation energy without anion corrections	-16.5	kcal/mol of atoms

=====

Density functional theory data (PBE-GGA) for crystalline SmMgMnS4 at its relaxed geometry.

abc: 7.6794 7.8756 10.5645
angles: 90.00 90.00 90.00
Space group Imma (No. 74)
One atom of each set of equivalent atoms:
Sm  0.0000  0.0000  0.0000 [4 per cell]
Mg  0.0000  0.2500  0.3772 [4 per cell]
Mn  0.2500  0.2500  0.7500 [4 per cell]
S  0.0000  0.0305  0.7391 [8 per cell]
S  0.2504  0.2500  0.5222 [8 per cell]

crystal system	orthorhombic
formation energy without anion corrections	-28.3	kcal/mol of atoms
N(E_F)	5.55	states/eV/cell

=====

Density functional theory data (PBE-GGA) for crystalline Sm3Mg2MnS8 at its relaxed geometry.

abc: 13.5791 7.8653 7.7461
angles: 90.00 123.18 90.00
Space group C2/m (No. 12)
One atom of each set of equivalent atoms:
Sm  0.0000  0.0000  0.0000 [2 per cell]
Sm  0.2500  0.2500  0.5000 [4 per cell]
Mg  0.1189  0.5000  0.8617 [4 per cell]
Mn  0.0000  0.0000  0.5000 [2 per cell]
S  0.0022  0.2239  0.2844 [8 per cell]
S  0.2410  0.5000  0.2416 [4 per cell]
S  0.2420  0.0000  0.2435 [4 per cell]

crystal system	monoclinic
formation energy without anion corrections	-34.9	kcal/mol of atoms

=====

Density functional theory data (PBE-GGA) for crystalline Sm2MgMnS5 at its relaxed geometry.

abc: 3.9103 16.4161 11.5321
angles: 90.00 90.00 90.00
Space group Cmc2_1 (No. 36)
One atom of each set of equivalent atoms:
Sm  0.0000  0.1124  0.0000 [4 per cell]
Sm  0.0000  0.1322  0.6161 [4 per cell]
Mg  0.0000  0.2063  0.3271 [4 per cell]
Mn  0.0000  0.4438  0.7704 [4 per cell]
S  0.0000  0.0500  0.3803 [4 per cell]
S  0.0000  0.2859  0.9789 [4 per cell]
S  0.0000  0.3121  0.6690 [4 per cell]
S  0.0000  0.3589  0.3136 [4 per cell]
S  0.0000  0.4961  0.0885 [4 per cell]

crystal system	orthorhombic
formation energy without anion corrections	-35.8	kcal/mol of atoms
N(E_F)	0.87	states/eV/cell

=====

Density functional theory data (PBE-GGA) for crystalline MgTa2MnS at its relaxed geometry.

abc: 4.7833 4.7833 4.0887
angles: 90.00 90.00 90.00
Space group P4/mmm (No. 123)
One atom of each set of equivalent atoms:
Mg  0.0000  0.0000  0.0000 [1 per cell]
Ta  0.0000  0.5000  0.5000 [2 per cell]
Mn  0.5000  0.5000  0.5000 [1 per cell]
S  0.5000  0.5000  0.0000 [1 per cell]

crystal system	tetragonal
formation energy without anion corrections	17.0	kcal/mol of atoms
N(E_F)	5.62	states/eV/cell

=====

Density functional theory data (PBE-GGA) for crystalline Mg2TiMn3S8 at its relaxed geometry.

abc: 7.3145 7.3145 17.9386
angles: 90.00 90.00 120.00
Space group R-3m (No. 166, hexagonal axes)
One atom of each set of equivalent atoms:
Mg  0.0000  0.0000  0.1282 [6 per cell]
Ti  0.0000  0.0000  0.5000 [3 per cell]
Mn  0.0000  0.5000  0.0000 [9 per cell]
S  0.0000  0.0000  0.2639 [6 per cell]
S  0.0292  0.5146  0.2522 [18 per cell]

crystal system	trigonal
formation energy without anion corrections	-20.9	kcal/mol of atoms
N(E_F)	20.18	states/eV/cell

=====

Density functional theory data (PBE-GGA) for crystalline Mg2Ti3MnS8 at its relaxed geometry.

abc: 7.2502 7.2502 18.3647
angles: 90.00 90.00 120.00
Space group R-3m (No. 166, hexagonal axes)
One atom of each set of equivalent atoms:
Mg  0.0000  0.0000  0.1250 [6 per cell]
Ti  0.0000  0.5000  0.0000 [9 per cell]
Mn  0.0000  0.0000  0.5000 [3 per cell]
S  0.0000  0.0000  0.2586 [6 per cell]
S  0.0265  0.5133  0.2552 [18 per cell]

crystal system	trigonal
formation energy without anion corrections	-27.9	kcal/mol of atoms
N(E_F)	17.11	states/eV/cell

=====

Density functional theory data (PBE-GGA) for crystalline Mg2Mn3VS8 at its relaxed geometry.

abc: 7.2619 7.2619 17.8906
angles: 90.00 90.00 120.00
Space group R-3m (No. 166, hexagonal axes)
One atom of each set of equivalent atoms:
Mg  0.0000  0.0000  0.1265 [6 per cell]
Mn  0.0000  0.5000  0.0000 [9 per cell]
V  0.0000  0.0000  0.5000 [3 per cell]
S  0.0000  0.0000  0.2635 [6 per cell]
S  0.0325  0.5163  0.2524 [18 per cell]

crystal system	trigonal
formation energy without anion corrections	-18.8	kcal/mol of atoms
N(E_F)	23.14	states/eV/cell

=====

Density functional theory data (PBE-GGA) for crystalline Mg2Mn3WS8 at its relaxed geometry.

abc: 7.3024 7.3024 18.2851
angles: 90.00 90.00 120.00
Space group R-3m (No. 166, hexagonal axes)
One atom of each set of equivalent atoms:
Mg  0.0000  0.0000  0.1342 [6 per cell]
Mn  0.0000  0.5000  0.0000 [9 per cell]
W  0.0000  0.0000  0.5000 [3 per cell]
S  0.0000  0.0000  0.2680 [6 per cell]
S  0.0281  0.5141  0.2483 [18 per cell]

crystal system	trigonal
formation energy without anion corrections	-16.1	kcal/mol of atoms
N(E_F)	17.50	states/eV/cell

=====

Density functional theory data (PBE-GGA) for crystalline Yb4MgMnS8 at its relaxed geometry.

abc: 11.0006 11.0006 11.0006
angles: 90.00 90.00 90.00
Space group F-43m (No. 216)
One atom of each set of equivalent atoms:
Yb  0.1240  0.1240  0.1240 [16 per cell]
Mg  0.2500  0.2500  0.7500 [4 per cell]
Mn  0.0000  0.0000  0.5000 [4 per cell]
S  0.1211  0.1211  0.8789 [16 per cell]
S  0.1220  0.1220  0.3780 [16 per cell]

crystal system	cubic
formation energy without anion corrections	-32.9	kcal/mol of atoms
N(E_F)	158.58	states/eV/cell

=====

- Number 9 is which compound?
  Mg2Ti3MnS8

=====

- Look up the formation energy without anion corrections of the eleventh one.
  -16.1 kcal/mol of atoms